Compound: Cs2Sr2Br
Source: Alexandria
Functional: PBE-GGA
Structure: optimized geometry

Structure (CIF):
```
data_Cs2Sr2Br
_cell_length_a 9.150
_cell_length_b 9.150
_cell_length_c 8.519
_cell_angle_alpha 90.00
_cell_angle_beta 90.00
_cell_angle_gamma 90.00
_space_group_name_H-M_alt 'P 1'
_space_group_IT_number 1
_space_group_name_Hall 'P 1'
loop_
_atom_site_label
_atom_site_fract_x
_atom_site_fract_y
_atom_site_fract_z
Cs1 0.334 0.834 0.000
Cs2 0.834 0.666 0.000
Cs3 0.666 0.166 0.000
Cs4 0.166 0.334 0.000
Sr1 0.169 0.669 0.500
Sr2 0.669 0.831 0.500
Sr3 0.831 0.331 0.500
Sr4 0.331 0.169 0.500
Br1 0.000 0.000 0.000
Br2 0.500 0.500 0.000
```

Symmetry: No. 127
Total magnetization in μB/atom: 0.005
Calculated volume in Å³/atom: 71.33
Raw formation energy in eV per atom: -0.361


Compound: Ac6IrI12
Source: Alexandria
Functional: PBE-GGA
Structure: optimized geometry

Structure (CIF):
```
data_Ac6IrI12
_cell_length_a 9.448
_cell_length_b 9.448
_cell_length_c 9.448
_cell_angle_alpha 75.67
_cell_angle_beta 75.67
_cell_angle_gamma 75.67
_space_group_name_H-M_alt 'P 1'
_space_group_IT_number 1
_space_group_name_Hall 'P 1'
loop_
_atom_site_label
_atom_site_fract_x
_atom_site_fract_y
_atom_site_fract_z
Ac1 0.220 0.824 0.220
Ac2 0.176 0.780 0.780
Ac3 0.780 0.780 0.176
Ac4 0.780 0.176 0.780
Ac5 0.824 0.220 0.220
Ac6 0.220 0.220 0.824
Ir1 0.000 0.000 0.000
I1 0.547 0.179 0.547
I2 0.179 0.547 0.547
I3 0.547 0.547 0.179
I4 0.453 0.821 0.453
I5 0.821 0.453 0.453
I6 0.453 0.453 0.821
I7 0.553 0.117 0.117
I8 0.883 0.447 0.883
I9 0.883 0.883 0.447
I10 0.447 0.883 0.883
I11 0.117 0.553 0.117
I12 0.117 0.117 0.553
```

Symmetry: No. 166
Total magnetization in μB/atom: 0.000
Calculated volume in Å³/atom: 40.84
Raw formation energy in eV per atom: -1.234


Compound: LaO3
Source: Alexandria
Functional: PBE-GGA
Structure: optimized geometry

Structure (CIF):
```
data_LaO3
_cell_length_a 5.671
_cell_length_b 5.671
_cell_length_c 4.474
_cell_angle_alpha 90.00
_cell_angle_beta 90.00
_cell_angle_gamma 120.00
_space_group_name_H-M_alt 'P 1'
_space_group_IT_number 1
_space_group_name_Hall 'P 1'
loop_
_atom_site_label
_atom_site_fract_x
_atom_site_fract_y
_atom_site_fract_z
La1 0.333 0.667 0.250
La2 0.667 0.333 0.750
O1 0.854 0.577 0.250
O2 0.723 0.146 0.250
O3 0.423 0.277 0.250
O4 0.146 0.423 0.750
O5 0.277 0.854 0.750
O6 0.577 0.723 0.750
```

Symmetry: No. 176
Total magnetization in μB/atom: 0.754
Calculated volume in Å³/atom: 15.58
Raw formation energy in eV per atom: -1.503


Compound: Tc2NiSbN
Source: Alexandria
Functional: PBE-GGA
Structure: optimized geometry

Structure (CIF):
```
data_Tc2NiSbN
_cell_length_a 4.189
_cell_length_b 3.829
_cell_length_c 4.189
_cell_angle_alpha 90.00
_cell_angle_beta 90.00
_cell_angle_gamma 90.00
_space_group_name_H-M_alt 'P 1'
_space_group_IT_number 1
_space_group_name_Hall 'P 1'
loop_
_atom_site_label
_atom_site_fract_x
_atom_site_fract_y
_atom_site_fract_z
Sb1 0.500 0.500 0.500
N1 0.000 0.000 0.000
Tc1 0.000 0.000 0.500
Tc2 0.500 0.000 0.000
Ni1 0.000 0.500 0.000
```

Symmetry: No. 123
Total magnetization in μB/atom: 0.066
Calculated volume in Å³/atom: 13.44
Raw formation energy in eV per atom: 0.153


Compound: Er4Te3
Source: Alexandria
Functional: PBE-GGA
Structure: optimized geometry

Structure (CIF):
```
data_Er4Te3
_cell_length_a 7.829
_cell_length_b 7.829
_cell_length_c 7.829
_cell_angle_alpha 109.47
_cell_angle_beta 109.47
_cell_angle_gamma 109.47
_space_group_name_H-M_alt 'P 1'
_space_group_IT_number 1
_space_group_name_Hall 'P 1'
loop_
_atom_site_label
_atom_site_fract_x
_atom_site_fract_y
_atom_site_fract_z
Er1 0.354 0.500 0.000
Er2 0.500 0.354 0.500
Er3 0.000 0.000 0.354
Er4 0.646 0.146 0.146
Er5 0.000 0.000 0.854
Er6 0.146 0.646 0.646
Er7 0.854 0.500 0.000
Er8 0.500 0.854 0.500
Te1 0.125 0.375 0.250
Te2 0.625 0.750 0.875
Te3 0.875 0.250 0.625
Te4 0.250 0.875 0.125
Te5 0.750 0.625 0.375
Te6 0.375 0.125 0.750
```

Symmetry: No. 220
Total magnetization in μB/atom: 0.000
Calculated volume in Å³/atom: 26.38
Raw formation energy in eV per atom: -1.001


Compound: CdAg2Pd
Source: Alexandria
Functional: PBE-GGA
Structure: optimized geometry

Structure (CIF):
```
data_CdAg2Pd
_cell_length_a 3.923
_cell_length_b 3.923
_cell_length_c 10.387
_cell_angle_alpha 79.11
_cell_angle_beta 79.11
_cell_angle_gamma 90.00
_space_group_name_H-M_alt 'P 1'
_space_group_IT_number 1
_space_group_name_Hall 'P 1'
loop_
_atom_site_label
_atom_site_fract_x
_atom_site_fract_y
_atom_site_fract_z
Pd1 0.500 0.500 0.000
Pd2 0.250 0.750 0.500
Ag1 0.621 0.125 0.250
Ag2 0.129 0.625 0.250
Ag3 0.375 0.379 0.750
Ag4 0.875 0.871 0.750
Cd1 0.000 0.000 0.000
Cd2 0.750 0.250 0.500
```

E_form in eV/atom: 0.038
Symmetry: No. 122
Total magnetization in μB/atom: 0.000
Calculated volume in Å³/atom: 19.26